No. 1
## Li2Ag3Cl2F4 (PBE)

Data for a relaxed structure of Li2Ag3Cl2F4.

Geometry as POSCAR:
```
Li2Ag3Cl2F4
1.0
-1.921 1.921 11.276
1.921 -1.921 11.276
1.921 1.921 -11.276
Li Ag Cl F
2 3 2 4
direct
0.077 0.077 0.000 Li
0.923 0.923 0.000 Li
0.328 0.328 0.000 Ag
0.500 0.500 0.000 Ag
0.672 0.672 0.000 Ag
0.189 0.189 0.000 Cl
0.811 0.811 0.000 Cl
0.065 0.565 0.500 F
0.435 0.935 0.500 F
0.565 0.065 0.500 F
0.935 0.435 0.500 F
```

=====

No. 2
## CdBr (PBE)

Data for a relaxed structure of CdBr.

Geometry as POSCAR:
```
CdBr
1.0
4.271 0.000 0.000
0.000 5.061 4.514
0.000 -5.061 4.514
Cd Br
3 3
direct
0.000 0.000 0.000 Cd
0.000 0.340 0.795 Cd
0.000 0.795 0.340 Cd
0.000 0.415 0.415 Br
0.500 0.569 0.958 Br
0.500 0.958 0.569 Br
```

=====

The E_form (uncorrected) results, record by record, are as follows: -1444; -471 meV/atom.